Material: Tl2AsCl5
Method: DFT, PBE-GGA
State: optimized geometry

## Properties
Calculated volume (Å³ per cell): 505
Space-group type: No. 107
E (Ry/atom): -0.2336
E_form (uncorrected) (eV per formula unit): -6.81

Lattice parameters (Å, degrees): 7.5602 7.5602 8.8350 90.00 90.00 90.00
Closest atoms and distances in Å follow each position.
Element x y z (fractional)
Tl (0.0000, 0.5000, 0.0000)  8 Cl 3.37-3.58
Tl (0.0000, 0.5000, 0.5000)  8 Cl 3.37-3.58
Tl (0.5000, 0.0000, 0.0000)  8 Cl 3.37-3.58
Tl (0.5000, 0.0000, 0.5000)  8 Cl 3.37-3.58
As (0.0000, 0.0000, 0.2606)  1 Cl 2.21
As (0.5000, 0.5000, 0.7606)  1 Cl 2.21
Cl (0.0000, 0.0000, 0.0103)  1 As 2.21
Cl (0.2349, 0.2349, 0.2689)  1 As 2.51
Cl (0.2349, 0.7651, 0.2689)  1 As 2.51
Cl (0.2651, 0.2651, 0.7689)  1 As 2.51
Cl (0.2651, 0.7349, 0.7689)  1 As 2.51
Cl (0.5000, 0.5000, 0.5103)  1 As 2.21
Cl (0.7349, 0.2651, 0.7689)  1 As 2.51
Cl (0.7349, 0.7349, 0.7689)  1 As 2.51
Cl (0.7651, 0.2349, 0.2689)  1 As 2.51
Cl (0.7651, 0.7651, 0.2689)  1 As 2.51



Material: Rb5C
Method: DFT, PBE-GGA
State: optimized geometry

## Properties
Energy above the most stable polymorph in this dataset (eV per formula unit): 2.09
Calculated volume (Å³ per cell): 501
Space-group type: No. 216
E (Ry/atom): -0.0891

Lattice parameters (Å, degrees): 8.9142 8.9142 8.9142 60.00 60.00 60.00
Closest atoms and distances in Å follow each position.
Element x y z (fractional)
Rb (0.0000, 0.0000, 0.0000)  12 Rb 5.23, 4 C 5.46
Rb (0.1277, 0.6241, 0.6241)  6 Rb 4.42-4.49
Rb (0.6241, 0.1277, 0.6241)  6 Rb 4.42-4.49
Rb (0.6241, 0.6241, 0.1277)  6 Rb 4.42-4.49
Rb (0.6241, 0.6241, 0.6241)  6 Rb 4.42-4.49
C (0.2500, 0.2500, 0.2500)  16 Rb 5.22-5.46



Material: Pm7Tm4Th
Method: DFT, PBE-GGA
State: optimized geometry

## Properties
Energy above the most stable polymorph in this dataset (eV per formula unit): 0.18
Calculated volume (Å³ per cell): 393
Space-group type: No. 164
E (Ry/atom): -0.3567

Lattice parameters (Å, degrees): 3.5943 3.5943 35.1237 90.00 90.00 120.00
Closest atoms and distances in Å follow each position.
Element x y z (fractional)
Pm (0.0000, 0.0000, 0.0000)  6 Tm 3.56, 6 Pm 3.59
Pm (0.0000, 0.0000, 0.2506)  3 Tm 3.56, 9 Pm 3.59-3.67
Pm (0.0000, 0.0000, 0.7494)  3 Tm 3.56, 9 Pm 3.59-3.67
Pm (0.3333, 0.6667, 0.1644)  3 Tm 3.56, 9 Pm 3.59-3.67
Pm (0.3333, 0.6667, 0.4174)  3 Th 3.57, 6 Pm 3.59, 3 Tm 3.62
Pm (0.6667, 0.3333, 0.5826)  3 Th 3.57, 6 Pm 3.59, 3 Tm 3.62
Pm (0.6667, 0.3333, 0.8356)  3 Tm 3.56, 9 Pm 3.59-3.67
Tm (0.3333, 0.6667, 0.6672)  6 Pm 3.56-3.62, 6 Tm 3.59
Tm (0.3333, 0.6667, 0.9178)  6 Pm 3.56, 6 Tm 3.59
Tm (0.6667, 0.3333, 0.0822)  6 Pm 3.56, 6 Tm 3.59
Tm (0.6667, 0.3333, 0.3328)  6 Pm 3.56-3.62, 6 Tm 3.59
Th (0.0000, 0.0000, 0.5000)  6 Pm 3.57, 6 Th 3.59



Material: CoOs2Cl
Method: DFT, PBE-GGA
State: optimized geometry

## Properties
Energy above the most stable polymorph in this dataset (eV per formula unit): 1.12
Calculated volume (Å³ per cell): 123
Space-group type: No. 35
E (Ry/atom): -0.5220
E_form (uncorrected) (eV per formula unit): 3.00

Lattice parameters (Å, degrees): 2.7581 4.7834 9.3560 90.00 90.00 90.00
Closest atoms and distances in Å follow each position.
Element x y z (fractional)
Co (0.0000, 0.0000, 0.0000)  2 Cl 2.29
Co (0.5000, 0.5000, 0.0000)  2 Cl 2.29
Os (0.0000, 0.0000, 0.4670)  8 Os 2.60-2.76
Os (0.0000, 0.5000, 0.2315)  2 Co 2.57, 8 Os 2.60-2.76
Os (0.5000, 0.0000, 0.2315)  2 Co 2.57, 8 Os 2.60-2.76
Os (0.5000, 0.5000, 0.4670)  8 Os 2.60-2.76
Cl (0.0000, 0.5000, 0.8046)  2 Co 2.29
Cl (0.5000, 0.0000, 0.8046)  2 Co 2.29



Material: Ac2Dy4Y7
Method: DFT, PBE-GGA
State: optimized geometry

## Properties
Calculated volume (Å³ per cell): 449
Space-group type: No. 162
E (Ry/atom): -0.3897

Lattice parameters (Å, degrees): 6.2071 6.2071 13.4566 90.00 90.00 120.00
Closest atoms and distances in Å follow each position.
Element x y z (fractional)
Ac (0.3333, 0.6667, 0.0000)  9 Y 3.58-3.59, 3 Ac 3.58
Ac (0.6667, 0.3333, 0.0000)  9 Y 3.58-3.59, 3 Ac 3.58
Dy (0.0000, 0.0000, 0.3964)  1 Dy 2.79
Dy (0.0000, 0.0000, 0.6036)  1 Dy 2.79
Dy (0.3333, 0.6667, 0.5000)  9 Dy 3.58-3.85
Dy (0.6667, 0.3333, 0.5000)  9 Dy 3.58-3.85
Y (0.0000, 0.0000, 0.0000)  6 Ac 3.58, 6 Y 3.70
Y (0.0000, 0.3542, 0.7786)  1 Dy 3.22, 4 Y 3.48, 2 Ac 3.59
Y (0.0000, 0.6458, 0.2214)  1 Dy 3.22, 4 Y 3.48, 2 Ac 3.59
Y (0.3542, 0.0000, 0.7786)  1 Dy 3.22, 4 Y 3.48, 2 Ac 3.59
Y (0.3542, 0.3542, 0.2214)  1 Dy 3.22, 4 Y 3.48, 2 Ac 3.59
Y (0.6458, 0.0000, 0.2214)  1 Dy 3.22, 4 Y 3.48, 2 Ac 3.59
Y (0.6458, 0.6458, 0.7786)  1 Dy 3.22, 4 Y 3.48, 2 Ac 3.59



Material: UZn4Pb
Method: DFT, PBE-GGA
State: optimized geometry

## Properties
Calculated volume (Å³ per cell): 120
Space-group type: No. 216
E (Ry/atom): -0.2314

Lattice parameters (Å, degrees): 5.5384 5.5384 5.5384 60.00 60.00 60.00
Closest atoms and distances in Å follow each position.
Element x y z (fractional)
U (0.0000, 0.0000, 0.0000)  12 Zn 3.25, 4 Pb 3.39
Zn (0.3743, 0.3743, 0.3743)  6 Zn 2.75-2.78
Zn (0.3743, 0.3743, 0.8771)  6 Zn 2.75-2.78
Zn (0.3743, 0.8771, 0.3743)  6 Zn 2.75-2.78
Zn (0.8771, 0.3743, 0.3743)  6 Zn 2.75-2.78
Pb (0.7500, 0.7500, 0.7500)  12 Zn 3.25, 4 U 3.39



Material: NaIrF2
Method: DFT, PBE-GGA
State: optimized geometry

## Properties
Energy above the most stable polymorph in this dataset (eV per formula unit): 3.74
Calculated volume (Å³ per cell): 166
Space-group type: No. 166
E (Ry/atom): -0.2981
E_form (uncorrected) (eV per formula unit): -2.30

Lattice parameters (Å, degrees): 2.8094 2.8094 24.2274 90.00 90.00 120.00
Closest atoms and distances in Å follow each position.
Element x y z (fractional)
Na (0.0000, 0.0000, 0.0000)  2 F 2.00
Na (0.3333, 0.6667, 0.6667)  2 F 2.00
Na (0.6667, 0.3333, 0.3333)  2 F 2.00
Ir (0.0000, 0.0000, 0.5000)  6 F 2.61, 6 Ir 2.81
Ir (0.3333, 0.6667, 0.1667)  6 F 2.61, 6 Ir 2.81
Ir (0.6667, 0.3333, 0.8333)  6 F 2.61, 6 Ir 2.81
F (0.0000, 0.0000, 0.0824)  1 Na 2.00
F (0.0000, 0.0000, 0.9176)  1 Na 2.00
F (0.3333, 0.6667, 0.5843)  1 Na 2.00
F (0.3333, 0.6667, 0.7490)  1 Na 2.00
F (0.6667, 0.3333, 0.2510)  1 Na 2.00
F (0.6667, 0.3333, 0.4157)  1 Na 2.00



Material: PmErSbSe
Method: DFT, PBE-GGA
State: optimized geometry

## Properties
Calculated volume (Å³ per cell): 112
Space-group type: No. 123
E (Ry/atom): -0.4146
E_form (uncorrected) (eV per formula unit): -5.64

Lattice parameters (Å, degrees): 4.3109 4.3109 6.0196 90.00 90.00 90.00
Closest atoms and distances in Å follow each position.
Element x y z (fractional)
Pm (0.0000, 0.0000, 0.0000)  2 Se 3.01, 4 Sb 3.05
Er (0.5000, 0.5000, 0.5000)  2 Sb 3.01, 4 Se 3.05
Sb (0.5000, 0.5000, 0.0000)  2 Er 3.01, 4 Pm 3.05
Se (0.0000, 0.0000, 0.5000)  2 Pm 3.01, 4 Er 3.05



Material: NaTm2Te6Pb3
Method: DFT, PBE-GGA
State: optimized geometry

## Properties
Calculated volume (Å³ per cell): 398
Space-group type: No. 12
E (Ry/atom): -0.3035
E_form (uncorrected) (eV per formula unit): -9.32

Lattice parameters (Å, degrees): 10.1708 10.1708 9.3494 103.95 103.95 25.12
Closest atoms and distances in Å follow each position.
Element x y z (fractional)
Na (0.0000, 0.0000, 0.0000)  6 Te 3.21-3.34
Tm (0.3337, 0.3337, 0.6606)  6 Te 3.01-3.11
Tm (0.6663, 0.6663, 0.3394)  6 Te 3.01-3.11
Te (0.1719, 0.1719, 0.5732)  3 Tm 3.09-3.11, 3 Pb 3.31-3.42
Te (0.1734, 0.1734, 0.1133)  2 Tm 3.09, 3 Pb 3.26-3.31, 1 Na 3.34
Te (0.4903, 0.4903, 0.7472)  1 Tm 3.01, 2 Na 3.21, 3 Pb 3.24
Te (0.5097, 0.5097, 0.2528)  1 Tm 3.01, 2 Na 3.21, 3 Pb 3.24
Te (0.8266, 0.8266, 0.8867)  2 Tm 3.09, 3 Pb 3.26-3.31, 1 Na 3.34
Te (0.8281, 0.8281, 0.4268)  3 Tm 3.09-3.11, 3 Pb 3.31-3.42
Pb (0.0000, 0.0000, 0.5000)  6 Te 3.24-3.31
Pb (0.3413, 0.3413, 0.1564)  6 Te 3.24-3.42
Pb (0.6587, 0.6587, 0.8436)  6 Te 3.24-3.42



Material: CaOsPt2
Method: DFT, PBE-GGA
State: optimized geometry

## Properties
Energy above the most stable polymorph in this dataset (eV per formula unit): 0.31
Calculated volume (Å³ per cell): 68
Space-group type: No. 123
E (Ry/atom): -0.4715

Lattice parameters (Å, degrees): 2.8722 2.8722 8.2902 90.00 90.00 90.00
Closest atoms and distances in Å follow each position.
Element x y z (fractional)
Ca (0.0000, 0.0000, 0.0000)  4 Ca 2.87, 8 Pt 3.07
Os (0.0000, 0.0000, 0.5000)  8 Pt 2.74, 4 Os 2.87
Pt (0.5000, 0.5000, 0.2773)  4 Os 2.74, 4 Pt 2.87, 4 Ca 3.07
Pt (0.5000, 0.5000, 0.7227)  4 Os 2.74, 4 Pt 2.87, 4 Ca 3.07



Material: Rb2PaPtO4
Method: DFT, PBE-GGA
State: optimized geometry

## Properties
Calculated volume (Å³ per cell): 326
Space-group type: No. 82
E (Ry/atom): -0.4716
E_form (uncorrected) (eV per formula unit): -14.03

Lattice parameters (Å, degrees): 6.5654 6.5654 7.5644 90.00 90.00 90.00
Closest atoms and distances in Å follow each position.
Element x y z (fractional)
Rb (0.0000, 0.0000, 0.0000)  4 O 2.90
Rb (0.0000, 0.5000, 0.2500)  4 O 2.79
Rb (0.5000, 0.0000, 0.7500)  4 O 2.79
Rb (0.5000, 0.5000, 0.5000)  4 O 2.90
Pa (0.0000, 0.0000, 0.5000)  4 O 2.09
Pa (0.5000, 0.5000, 0.0000)  4 O 2.09
Pt (0.0000, 0.5000, 0.7500)  4 O 2.22
Pt (0.5000, 0.0000, 0.2500)  4 O 2.22
O (0.1342, 0.7993, 0.6794)  1 Pa 2.09, 1 Pt 2.22
O (0.2007, 0.1342, 0.3206)  1 Pa 2.09, 1 Pt 2.22
O (0.2993, 0.3658, 0.8206)  1 Pa 2.09, 1 Pt 2.22
O (0.3658, 0.7007, 0.1794)  1 Pa 2.09, 1 Pt 2.22
O (0.6342, 0.2993, 0.1794)  1 Pa 2.09, 1 Pt 2.22
O (0.7007, 0.6342, 0.8206)  1 Pa 2.09, 1 Pt 2.22
O (0.7993, 0.8658, 0.3206)  1 Pa 2.09, 1 Pt 2.22
O (0.8658, 0.2007, 0.6794)  1 Pa 2.09, 1 Pt 2.22



Material: Li3ZnCd
Method: DFT, PBE-GGA
State: optimized geometry

## Properties
Energy above the most stable polymorph in this dataset (eV per formula unit): 1.61
Calculated volume (Å³ per cell): 108
Space-group type: No. 221
E (Ry/atom): -0.1072

Lattice parameters (Å, degrees): 4.7559 4.7559 4.7559 90.00 90.00 90.00
Closest atoms and distances in Å follow each position.
Element x y z (fractional)
Li (0.0000, 0.0000, 0.5000)  2 Zn 2.38
Li (0.0000, 0.5000, 0.0000)  2 Zn 2.38
Li (0.5000, 0.0000, 0.0000)  2 Zn 2.38
Zn (0.0000, 0.0000, 0.0000)  6 Li 2.38
Cd (0.5000, 0.5000, 0.5000)  12 Li 3.36



Material: Sc2BeSnN
Method: DFT, PBE-GGA
State: optimized geometry

## Properties
Calculated volume (Å³ per cell): 77
Space-group type: No. 123
E (Ry/atom): -0.4804
E_form (uncorrected) (eV per formula unit): -3.96

Lattice parameters (Å, degrees): 4.6649 4.6649 3.5381 90.00 90.00 90.00
Closest atoms and distances in Å follow each position.
Element x y z (fractional)
Sc (0.0000, 0.5000, 0.0000)  2 N 2.33
Sc (0.5000, 0.0000, 0.0000)  2 N 2.33
Be (0.0000, 0.0000, 0.5000)  2 N 1.77
Sn (0.5000, 0.5000, 0.5000)  8 Sc 2.93
N (0.0000, 0.0000, 0.0000)  2 Be 1.77